GGA-PBE ZrTl2As, optimized geometry; total magnetic moment = 0.00 μB per formula unit; energy of formation from the pure elements = 0.184 eV per atom; relative energy among the computed polymorphs = 465 meV/atom; electronic total energy = -4.299 eV/atom; N(E_F) = 10.3 states/eV/cell; space-group type = No. 216
1.0
7.265 0.000 0.000
0.000 7.265 0.000
0.000 0.000 7.265
Zr Tl As
4 8 4
Direct
0.000 0.000 0.000
0.000 0.500 0.500
0.500 0.000 0.500
0.500 0.500 0.000
0.000 0.000 0.500
0.000 0.500 0.000
0.250 0.250 0.750
0.250 0.750 0.250
0.500 0.000 0.000
0.500 0.500 0.500
0.750 0.250 0.250
0.750 0.750 0.750
0.250 0.250 0.250
0.250 0.750 0.750
0.750 0.250 0.750
0.750 0.750 0.250